This record from Alexandria describes a relaxed structure of SrAgI. The functional is PBE.

```
SrAgI
1.0
4.011 -2.312 0.000
4.011 2.312 0.000
-2.693 0.000 6.303
Sr Ag I
1 1 1
Cartesian
0.000 0.000 0.000
-0.023 0.000 4.472
5.350 0.000 2.040
```

Results
The value obtained for the polymorph energy (0 for the lowest one) is 0.257 eV per atom. The energy relative to the elements, uncorrected is -0.68 eV per atom. The calculated volume comes out at 38.956 Å³ per atom. The final energy is -2.708 eV/atom.